(i)
First-principles (PBE) data for a relaxed structure of AcTmHg4, as listed in Alexandria.

Results
The crystal system is cubic. The value obtained for the density of states at the Fermi level is 1.479 states/eV/cell. Its mass density is 12.4 g cm⁻³.

Structure (CIF):
```
data_AcTmHg4
_space_group_name_H-M_alt 'P 1'
_space_group_IT_number 1
_cell_length_a 6.097
_cell_length_b 6.097
_cell_length_c 6.097
_cell_angle_alpha 60.00
_cell_angle_beta 60.00
_cell_angle_gamma 60.00
loop_
_space_group_symop_operation_xyz
'x,y,z'
loop_
_atom_site_label
_atom_site_type_symbol
_atom_site_fract_x
_atom_site_fract_y
_atom_site_fract_z
_atom_site_occupancy
Ac1 Ac 0.000 0.000 0.000 1
Tm1 Tm 0.250 0.250 0.250 1
Hg1 Hg 0.126 0.625 0.625 1
Hg2 Hg 0.625 0.126 0.625 1
Hg3 Hg 0.625 0.625 0.126 1
Hg4 Hg 0.625 0.625 0.625 1
```

(ii)
First-principles (PBE) data for a relaxed structure of AcTmHg4, as listed in Alexandria.

Results
The crystal system is monoclinic. The value obtained for the density of states at the Fermi level is 2.787 states/eV/cell. Its mass density is 12.0 g cm⁻³.

Structure (CIF):
```
data_AcTmHg4
_space_group_name_H-M_alt 'P 1'
_space_group_IT_number 1
_cell_length_a 3.886
_cell_length_b 5.116
_cell_length_c 8.582
_cell_angle_alpha 90.00
_cell_angle_beta 103.14
_cell_angle_gamma 90.00
loop_
_space_group_symop_operation_xyz
'x,y,z'
loop_
_atom_site_label
_atom_site_type_symbol
_atom_site_fract_x
_atom_site_fract_y
_atom_site_fract_z
_atom_site_occupancy
Ac1 Ac 0.000 0.000 0.000 1
Tm1 Tm 0.774 0.500 0.550 1
Hg1 Hg 0.317 0.000 0.633 1
Hg2 Hg 0.415 0.500 0.832 1
Hg3 Hg 0.589 0.500 0.181 1
Hg4 Hg 0.675 0.000 0.348 1
```

Stability summary: most stable (ii), least stable (i).

(i)
First-principles (PBE) data for a relaxed structure of AcTm2Hg, as listed in Alexandria.

Results
The crystal system is trigonal. The value obtained for the density of states at the Fermi level is 4.980 states/eV/cell. Its mass density is 9.9 g cm⁻³.

Structure (CIF):
```
data_AcTm2Hg
_space_group_name_H-M_alt 'P 1'
_space_group_IT_number 1
_cell_length_a 10.857
_cell_length_b 10.857
_cell_length_c 10.857
_cell_angle_alpha 19.81
_cell_angle_beta 19.81
_cell_angle_gamma 19.81
loop_
_space_group_symop_operation_xyz
'x,y,z'
loop_
_atom_site_label
_atom_site_type_symbol
_atom_site_fract_x
_atom_site_fract_y
_atom_site_fract_z
_atom_site_occupancy
Ac1 Ac 0.000 0.000 0.000 1
Tm1 Tm 0.570 0.570 0.570 1
Tm2 Tm 0.763 0.763 0.763 1
Hg1 Hg 0.166 0.166 0.166 1
```

(ii)
First-principles (PBE) data for a relaxed structure of AcTm2Hg, as listed in Alexandria.

Results
The crystal system is trigonal. The value obtained for the density of states at the Fermi level is 3.515 states/eV/cell. Its mass density is 10.0 g cm⁻³.

Structure (CIF):
```
data_AcTm2Hg
_space_group_name_H-M_alt 'P 1'
_space_group_IT_number 1
_cell_length_a 10.834
_cell_length_b 10.834
_cell_length_c 10.834
_cell_angle_alpha 19.73
_cell_angle_beta 19.73
_cell_angle_gamma 19.73
loop_
_space_group_symop_operation_xyz
'x,y,z'
loop_
_atom_site_label
_atom_site_type_symbol
_atom_site_fract_x
_atom_site_fract_y
_atom_site_fract_z
_atom_site_occupancy
Ac1 Ac 0.000 0.000 0.000 1
Tm1 Tm 0.238 0.238 0.238 1
Tm2 Tm 0.762 0.762 0.762 1
Hg1 Hg 0.500 0.500 0.500 1
```

(iii)
First-principles (PBE) data for a relaxed structure of AcTm2Hg, as listed in Alexandria.

Results
The crystal system is tetragonal. The value obtained for the density of states at the Fermi level is 5.513 states/eV/cell. Its mass density is 10.4 g cm⁻³.

Structure (CIF):
```
data_AcTm2Hg
_space_group_name_H-M_alt 'P 1'
_space_group_IT_number 1
_cell_length_a 4.923
_cell_length_b 4.923
_cell_length_c 5.044
_cell_angle_alpha 90.00
_cell_angle_beta 90.00
_cell_angle_gamma 90.00
loop_
_space_group_symop_operation_xyz
'x,y,z'
loop_
_atom_site_label
_atom_site_type_symbol
_atom_site_fract_x
_atom_site_fract_y
_atom_site_fract_z
_atom_site_occupancy
Ac1 Ac 0.000 0.000 0.000 1
Tm1 Tm 0.000 0.500 0.500 1
Tm2 Tm 0.500 0.000 0.500 1
Hg1 Hg 0.500 0.500 0.000 1
```

(iv)
First-principles (PBE) data for a relaxed structure of AcTm2Hg, as listed in Alexandria.

Results
The crystal system is cubic. The value obtained for the density of states at the Fermi level is 6.801 states/eV/cell. Its mass density is 10.6 g cm⁻³.

Structure (CIF):
```
data_AcTm2Hg
_space_group_name_H-M_alt 'P 1'
_space_group_IT_number 1
_cell_length_a 5.527
_cell_length_b 5.527
_cell_length_c 5.527
_cell_angle_alpha 60.00
_cell_angle_beta 60.00
_cell_angle_gamma 60.00
loop_
_space_group_symop_operation_xyz
'x,y,z'
loop_
_atom_site_label
_atom_site_type_symbol
_atom_site_fract_x
_atom_site_fract_y
_atom_site_fract_z
_atom_site_occupancy
Ac1 Ac 0.000 0.000 0.000 1
Tm1 Tm 0.250 0.250 0.250 1
Tm2 Tm 0.750 0.750 0.750 1
Hg1 Hg 0.500 0.500 0.500 1
```

Stability summary: most stable (ii), least stable (iv).

(i)
First-principles (PBE) data for a relaxed structure of Ac2TmHg, as listed in Alexandria.

Results
The crystal system is tetragonal. The value obtained for the density of states at the Fermi level is 4.580 states/eV/cell. Its mass density is 9.6 g cm⁻³.

Structure (CIF):
```
data_Ac2TmHg
_space_group_name_H-M_alt 'P 1'
_space_group_IT_number 1
_cell_length_a 3.975
_cell_length_b 3.975
_cell_length_c 9.040
_cell_angle_alpha 90.00
_cell_angle_beta 90.00
_cell_angle_gamma 90.00
loop_
_space_group_symop_operation_xyz
'x,y,z'
loop_
_atom_site_label
_atom_site_type_symbol
_atom_site_fract_x
_atom_site_fract_y
_atom_site_fract_z
_atom_site_occupancy
Ac1 Ac 0.000 0.000 0.229 1
Ac2 Ac 0.000 0.000 0.771 1
Tm1 Tm 0.500 0.500 0.500 1
Hg1 Hg 0.500 0.500 0.000 1
```

(ii)
First-principles (PBE) data for a relaxed structure of Ac2TmHg, as listed in Alexandria.

Results
The crystal system is cubic. The value obtained for the density of states at the Fermi level is 5.304 states/eV/cell. Its mass density is 9.8 g cm⁻³.

Structure (CIF):
```
data_Ac2TmHg
_space_group_name_H-M_alt 'P 1'
_space_group_IT_number 1
_cell_length_a 5.817
_cell_length_b 5.817
_cell_length_c 5.817
_cell_angle_alpha 60.00
_cell_angle_beta 60.00
_cell_angle_gamma 60.00
loop_
_space_group_symop_operation_xyz
'x,y,z'
loop_
_atom_site_label
_atom_site_type_symbol
_atom_site_fract_x
_atom_site_fract_y
_atom_site_fract_z
_atom_site_occupancy
Ac1 Ac 0.250 0.250 0.250 1
Ac2 Ac 0.750 0.750 0.750 1
Tm1 Tm 0.000 0.000 0.000 1
Hg1 Hg 0.500 0.500 0.500 1
```

Stability summary: most stable (i), least stable (ii).

(i)
First-principles (PBE) data for a relaxed structure of AcTmHg, as listed in Alexandria.

Results
The crystal system is tetragonal. The value obtained for the density of states at the Fermi level is 4.038 states/eV/cell. Its mass density is 10.4 g cm⁻³.

Structure (CIF):
```
data_AcTmHg
_space_group_name_H-M_alt 'P 1'
_space_group_IT_number 1
_cell_length_a 7.082
_cell_length_b 7.082
_cell_length_c 7.082
_cell_angle_alpha 148.68
_cell_angle_beta 148.68
_cell_angle_gamma 44.88
loop_
_space_group_symop_operation_xyz
'x,y,z'
loop_
_atom_site_label
_atom_site_type_symbol
_atom_site_fract_x
_atom_site_fract_y
_atom_site_fract_z
_atom_site_occupancy
Ac1 Ac 0.000 0.000 0.000 1
Tm1 Tm 0.298 0.298 0.000 1
Hg1 Hg 0.681 0.681 0.000 1
```

(ii)
First-principles (PBE) data for a relaxed structure of AcTmHg, as listed in Alexandria.

Results
The crystal system is hexagonal. The value obtained for the density of states at the Fermi level is 4.549 states/eV/cell. Its mass density is 10.1 g cm⁻³.

Structure (CIF):
```
data_AcTmHg
_space_group_name_H-M_alt 'P 1'
_space_group_IT_number 1
_cell_length_a 5.252
_cell_length_b 5.252
_cell_length_c 4.106
_cell_angle_alpha 90.00
_cell_angle_beta 90.00
_cell_angle_gamma 120.00
loop_
_space_group_symop_operation_xyz
'x,y,z'
loop_
_atom_site_label
_atom_site_type_symbol
_atom_site_fract_x
_atom_site_fract_y
_atom_site_fract_z
_atom_site_occupancy
Ac1 Ac 0.000 0.000 0.000 1
Tm1 Tm 0.667 0.333 0.500 1
Hg1 Hg 0.333 0.667 0.500 1
```

Stability summary: most stable (i), least stable (ii).

(i)
First-principles (PBE) data for a relaxed structure of AcY2Hg, as listed in Alexandria.

Results
The crystal system is trigonal. The value obtained for the density of states at the Fermi level is 3.876 states/eV/cell. Its mass density is 7.6 g cm⁻³.

Structure (CIF):
```
data_AcY2Hg
_space_group_name_H-M_alt 'P 1'
_space_group_IT_number 1
_cell_length_a 10.948
_cell_length_b 10.948
_cell_length_c 10.948
_cell_angle_alpha 19.81
_cell_angle_beta 19.81
_cell_angle_gamma 19.81
loop_
_space_group_symop_operation_xyz
'x,y,z'
loop_
_atom_site_label
_atom_site_type_symbol
_atom_site_fract_x
_atom_site_fract_y
_atom_site_fract_z
_atom_site_occupancy
Ac1 Ac 0.000 0.000 0.000 1
Y1 Y 0.238 0.238 0.238 1
Y2 Y 0.762 0.762 0.762 1
Hg1 Hg 0.500 0.500 0.500 1
```

(ii)
First-principles (PBE) data for a relaxed structure of AcY2Hg, as listed in Alexandria.

Results
The crystal system is tetragonal. The value obtained for the density of states at the Fermi level is 6.133 states/eV/cell. Its mass density is 8.2 g cm⁻³.

Structure (CIF):
```
data_AcY2Hg
_space_group_name_H-M_alt 'P 1'
_space_group_IT_number 1
_cell_length_a 5.636
_cell_length_b 5.636
_cell_length_c 3.872
_cell_angle_alpha 90.00
_cell_angle_beta 90.00
_cell_angle_gamma 90.00
loop_
_space_group_symop_operation_xyz
'x,y,z'
loop_
_atom_site_label
_atom_site_type_symbol
_atom_site_fract_x
_atom_site_fract_y
_atom_site_fract_z
_atom_site_occupancy
Ac1 Ac 0.000 0.000 0.000 1
Y1 Y 0.000 0.500 0.500 1
Y2 Y 0.500 0.000 0.500 1
Hg1 Hg 0.500 0.500 0.000 1
```

Stability summary: most stable (i), least stable (ii).

(i)
First-principles (PBE) data for a relaxed structure of AcY2Hg, as listed in Alexandria.

Results
The crystal system is cubic. The value obtained for the density of states at the Fermi level is 6.941 states/eV/cell. Its mass density is 8.2 g cm⁻³.

Structure (CIF):
```
data_AcY2Hg
_space_group_name_H-M_alt 'P 1'
_space_group_IT_number 1
_cell_length_a 5.587
_cell_length_b 5.587
_cell_length_c 5.587
_cell_angle_alpha 60.00
_cell_angle_beta 60.00
_cell_angle_gamma 60.00
loop_
_space_group_symop_operation_xyz
'x,y,z'
loop_
_atom_site_label
_atom_site_type_symbol
_atom_site_fract_x
_atom_site_fract_y
_atom_site_fract_z
_atom_site_occupancy
Ac1 Ac 0.000 0.000 0.000 1
Y1 Y 0.250 0.250 0.250 1
Y2 Y 0.750 0.750 0.750 1
Hg1 Hg 0.500 0.500 0.500 1
```

(ii)
First-principles (PBE) data for a relaxed structure of AcY2Hg, as listed in Alexandria.

Results
The crystal system is trigonal. The value obtained for the density of states at the Fermi level is 5.266 states/eV/cell. Its mass density is 7.5 g cm⁻³.

Structure (CIF):
```
data_AcY2Hg
_space_group_name_H-M_alt 'P 1'
_space_group_IT_number 1
_cell_length_a 10.946
_cell_length_b 10.946
_cell_length_c 10.946
_cell_angle_alpha 19.96
_cell_angle_beta 19.96
_cell_angle_gamma 19.96
loop_
_space_group_symop_operation_xyz
'x,y,z'
loop_
_atom_site_label
_atom_site_type_symbol
_atom_site_fract_x
_atom_site_fract_y
_atom_site_fract_z
_atom_site_occupancy
Ac1 Ac 0.000 0.000 0.000 1
Y1 Y 0.237 0.237 0.237 1
Y2 Y 0.430 0.430 0.430 1
Hg1 Hg 0.834 0.834 0.834 1
```

Stability summary: most stable (ii), least stable (i).